First-principles (GGA-PBE) data for an optimized crystal structure of La8Nd2Dy, as listed in Alexandria.

Values from the calculation:
Total moment ... 0.0 μB per formula unit
D(E_F) ... 15.400 states/eV/cell
Formation energy from the elements ... 0.12 eV per atom

Cell: 9.678 9.678 6.114 Å, 105.62 105.62 122.50°
Atoms (fractional coordinates):
La  0.096  0.331  0.683
La  0.205  0.795  0.000
La  0.331  0.096  0.683
La  0.420  0.420  0.201
La  0.580  0.580  0.799
La  0.669  0.904  0.317
La  0.795  0.205  0.000
La  0.904  0.669  0.317
Nd  0.309  0.691  0.500
Nd  0.691  0.309  0.500
Dy  0.000  0.000  0.000